# Cu2Ge3O8 (PBE-GGA, relaxed)
data_Cu2Ge3O8
_chemical_formula_sum 'Cu4 Ge6 O16'
_cell_length_a 9.934
_cell_length_b 5.704
_cell_length_c 5.047
_cell_angle_alpha 90.00
_cell_angle_beta 101.18
_cell_angle_gamma 90.00
_space_group_name_H-M_alt 'C 1 2/m 1'
_space_group_IT_number 12
loop_
_space_group_symop_operation_xyz
'x,y,z'
'-x,-y,-z'
'-x,y,-z'
'x,-y,z'
'x+1/2,y+1/2,z'
'-x+1/2,-y+1/2,-z'
'-x+1/2,y+1/2,-z'
'x+1/2,-y+1/2,z'
loop_
_atom_site_label
_atom_site_type_symbol
_atom_site_fract_x
_atom_site_fract_y
_atom_site_fract_z
Cu1 Cu 0.220 0.000 0.068
Ge1 Ge 0.000 0.238 0.500
Ge2 Ge 0.000 0.500 0.000
O1 O 0.096 0.500 0.363
O2 O 0.104 0.000 0.391
O3 O 0.117 0.273 0.868
# E_form (uncorrected): -1.2151 eV per atom
# VASP energy: -155.0 eV per cell